one) Crystalline PrSc2Ga6 at its relaxed geometry. Source: Alexandria, functional PBE-GGA.

Unit cell a=7.5316 b=7.5316 c=7.5316 alpha=147.38 beta=124.42 gamma=65.95
Closest atoms and distances in Å follow each position.
Positions (direct):
Pr  0.0000  0.0000  0.0000  4 Ga 3.10
Sc  0.3778  0.8778  0.5000  6 Ga 2.75-2.90
Sc  0.6222  0.1222  0.5000  6 Ga 2.75-2.90
Ga  0.0083  0.3098  0.6985  4 Ga 2.56-2.79, 1 Sc 2.75
Ga  0.3222  0.5000  0.8222  3 Ga 2.50-2.56
Ga  0.3887  0.6902  0.6985  4 Ga 2.56-2.79, 1 Sc 2.75
Ga  0.6113  0.3098  0.3015  4 Ga 2.56-2.79, 1 Sc 2.75
Ga  0.6778  0.5000  0.1778  3 Ga 2.50-2.56
Ga  0.9917  0.6902  0.3015  4 Ga 2.56-2.79, 1 Sc 2.75

two) Crystalline PrSc2Ga6 at its relaxed geometry. Source: Alexandria, functional PBE-GGA.

Unit cell a=7.4691 b=7.4691 c=3.6905 alpha=90.00 beta=90.00 gamma=120.00
Closest atoms and distances in Å follow each position.
Positions (direct):
Pr  0.0000  0.0000  0.0000  12 Ga 3.13
Sc  0.3333  0.6667  0.0000  12 Ga 3.08
Sc  0.6667  0.3333  0.0000  12 Ga 3.08
Ga  0.0000  0.3382  0.5000  3 Ga 2.42-2.53
Ga  0.0000  0.6618  0.5000  3 Ga 2.42-2.53
Ga  0.3382  0.0000  0.5000  3 Ga 2.42-2.53
Ga  0.3382  0.3382  0.5000  3 Ga 2.42-2.53
Ga  0.6618  0.0000  0.5000  3 Ga 2.42-2.53
Ga  0.6618  0.6618  0.5000  3 Ga 2.42-2.53

It is one) that is the least stable of them.

one) Crystalline Pr3ScGa2 at its relaxed geometry. Source: Alexandria, functional PBE-GGA.

Unit cell a=4.5171 b=4.6414 c=16.1038 alpha=90.00 beta=90.00 gamma=90.00
Closest atoms and distances in Å follow each position.
Positions (direct):
Pr  0.0000  0.0000  0.0000  4 Ga 3.11, 4 Sc 3.24
Pr  0.0000  0.5000  0.3206  5 Ga 3.09-3.34
Pr  0.0000  0.5000  0.6794  5 Ga 3.09-3.34
Pr  0.5000  0.0000  0.1794  5 Ga 3.09-3.34
Pr  0.5000  0.0000  0.8206  5 Ga 3.09-3.34
Pr  0.5000  0.5000  0.5000  4 Ga 3.11, 4 Sc 3.24
Sc  0.0000  0.0000  0.5000  4 Ga 3.07, 4 Pr 3.24
Sc  0.5000  0.5000  0.0000  4 Ga 3.07, 4 Pr 3.24
Ga  0.0000  0.5000  0.1290  2 Sc 3.07, 7 Pr 3.09-3.34
Ga  0.0000  0.5000  0.8710  2 Sc 3.07, 7 Pr 3.09-3.34
Ga  0.5000  0.0000  0.3710  2 Sc 3.07, 7 Pr 3.09-3.34
Ga  0.5000  0.0000  0.6290  2 Sc 3.07, 7 Pr 3.09-3.34

two) Crystalline Pr3ScGa2 at its relaxed geometry. Source: Alexandria, functional PBE-GGA.

Unit cell a=9.1376 b=9.1376 c=9.1376 alpha=138.00 beta=60.48 gamma=138.55
Closest atoms and distances in Å follow each position.
Positions (direct):
Pr  0.1798  0.7432  0.9231  4 Ga 3.07-3.35
Pr  0.2500  0.2500  0.0000  4 Ga 3.12, 2 Pr 3.23, 2 Sc 3.27
Pr  0.3202  0.2432  0.5634  4 Ga 3.07-3.35
Pr  0.6798  0.7568  0.4366  4 Ga 3.07-3.35
Pr  0.7500  0.7500  0.0000  4 Ga 3.12, 2 Pr 3.23, 2 Sc 3.27
Pr  0.8202  0.2568  0.0769  4 Ga 3.07-3.35
Sc  0.2500  0.7500  0.5000  4 Ga 2.96, 2 Sc 3.23, 2 Pr 3.27
Sc  0.7500  0.2500  0.5000  4 Ga 2.96, 2 Sc 3.23, 2 Pr 3.27
Ga  0.1259  0.2727  0.3986  2 Sc 2.96, 4 Pr 3.07-3.20
Ga  0.3741  0.7727  0.1468  2 Sc 2.96, 4 Pr 3.07-3.20
Ga  0.6259  0.2273  0.8532  2 Sc 2.96, 4 Pr 3.07-3.20
Ga  0.8741  0.7273  0.6014  2 Sc 2.96, 4 Pr 3.07-3.20

It is one) that is the least stable of them.

one) Crystalline Pr3Ga2Si3 at its relaxed geometry. Source: Alexandria, functional PBE-GGA.

Unit cell a=5.9752 b=5.9752 c=15.5179 alpha=90.00 beta=90.00 gamma=138.85
Closest atoms and distances in Å follow each position.
Positions (direct):
Pr  0.0536  0.9464  0.7500  5 Si 3.04-3.28, 4 Ga 3.07
Pr  0.3528  0.6472  0.5917  4 Ga 3.19-3.29, 7 Si 3.20-3.34
Pr  0.3528  0.6472  0.9083  4 Ga 3.19-3.29, 7 Si 3.20-3.34
Pr  0.6472  0.3528  0.0917  4 Ga 3.19-3.29, 7 Si 3.20-3.34
Pr  0.6472  0.3528  0.4083  4 Ga 3.19-3.29, 7 Si 3.20-3.34
Pr  0.9464  0.0536  0.2500  5 Si 3.04-3.28, 4 Ga 3.07
Ga  0.3586  0.6414  0.1206  3 Si 2.46-2.53
Ga  0.3586  0.6414  0.3794  3 Si 2.46-2.53
Ga  0.6414  0.3586  0.6206  3 Si 2.46-2.53
Ga  0.6414  0.3586  0.8794  3 Si 2.46-2.53
Si  0.0716  0.9284  0.5546  1 Si 2.33, 2 Ga 2.46
Si  0.0716  0.9284  0.9454  1 Si 2.33, 2 Ga 2.46
Si  0.2214  0.7786  0.2500  2 Ga 2.53
Si  0.7786  0.2214  0.7500  2 Ga 2.53
Si  0.9284  0.0716  0.0546  1 Si 2.33, 2 Ga 2.46
Si  0.9284  0.0716  0.4454  1 Si 2.33, 2 Ga 2.46

two) Crystalline Pr3Ga2Si3 at its relaxed geometry. Source: Alexandria, functional PBE-GGA.

Unit cell a=6.0244 b=6.0244 c=14.9410 alpha=90.00 beta=90.00 gamma=138.89
Closest atoms and distances in Å follow each position.
Positions (direct):
Pr  0.0635  0.9365  0.6123  6 Si 3.07-3.18, 3 Ga 3.20-3.25
Pr  0.0635  0.9365  0.8877  6 Si 3.07-3.18, 3 Ga 3.20-3.25
Pr  0.3521  0.6479  0.7500  5 Si 3.14-3.22, 4 Ga 3.18
Pr  0.6479  0.3521  0.2500  5 Si 3.14-3.22, 4 Ga 3.18
Pr  0.9365  0.0635  0.1123  6 Si 3.07-3.18, 3 Ga 3.20-3.25
Pr  0.9365  0.0635  0.3877  6 Si 3.07-3.18, 3 Ga 3.20-3.25
Ga  0.2244  0.7756  0.1020  4 Si 2.58-2.76
Ga  0.2244  0.7756  0.3980  4 Si 2.58-2.76
Ga  0.7756  0.2244  0.6020  4 Si 2.58-2.76
Ga  0.7756  0.2244  0.8980  4 Si 2.58-2.76
Si  0.3621  0.6379  0.2500  2 Ga 2.70
Si  0.3789  0.6211  0.5408  3 Ga 2.58-2.76
Si  0.3789  0.6211  0.9592  3 Ga 2.58-2.76
Si  0.6211  0.3789  0.0408  3 Ga 2.58-2.76
Si  0.6211  0.3789  0.4592  3 Ga 2.58-2.76
Si  0.6379  0.3621  0.7500  2 Ga 2.70

It is two) that is the least stable of them.